VASP calculation (PBE) on PmSiPt after structural relaxation.

- energy relative to the lowest polymorph listed for this composition (eV per atom) = 0.000
- density of states at the Fermi level (states/eV/f.u.) = 1.68

Lattice parameters (Å, degrees): 7.2299 4.3651 7.5355 90.00 90.00 90.00
Last column: nearest neighbours and their distance in Å.
Space group Pnma (No. 62)
Unique sites:
Pm 0.0043 0.2500 0.1979  6 Si 3.05-3.25, 6 Pt 3.05-3.27
Si 0.1841 0.2500 0.5859  4 Pt 2.54-2.75
Pt 0.1963 0.7500 0.4136  4 Si 2.54-2.75